First-principles (GGA-PBE) data for a relaxed structure of Li2PmB2O6, as listed in Alexandria.

Results
* DOS(E_F): 0.418 states/eV/atom
* energy relative to the elements, uncorrected: -2.41 eV/atom
* ρ: 3.2 g/cm3
* VASP energy: -0.261 Ha/atom

abc: 5.0907 5.0907 6.3292
angles: 90.00 90.00 120.00
Space group P-3 (No. 147)
Symmetry-distinct sites (fractional):
Li: 0.3333 0.6667 0.3153
Pm: 0.0000 0.0000 0.0000
B: 0.3333 0.6667 0.7760
O: 0.0579 0.4012 0.7764



First-principles (GGA-PBE) data for a relaxed structure of CsSi2H, as listed in Alexandria.

Results
* DOS(E_F): 0.479 states/eV/atom
* ρ: 3.3 g/cm3
* VASP energy: -0.080 Ha/atom

abc: 7.2845 7.2845 7.2845
angles: 90.00 90.00 90.00
Space group Fm-3m (No. 225)
Symmetry-distinct sites (fractional):
Cs: 0.0000 0.0000 0.0000
Si: 0.2500 0.2500 0.2500
H: 0.0000 0.0000 0.5000